Entry 1:
## SbRhAu2 (PBE)

Data for crystalline SbRhAu2 at its relaxed geometry. Values from VASP.

The structure in Quantum ESPRESSO input format:
```
&SYSTEM
  ibrav = 0, nat = 8, ntyp = 3
/
ATOMIC_SPECIES
Au 196.97 Au.upf
Sb 121.76 Sb.upf
Rh 102.91 Rh.upf
ATOMIC_POSITIONS crystal
Au 0.621 0.125 0.250
Au 0.129 0.625 0.250
Au 0.375 0.379 0.750
Au 0.875 0.871 0.750
Sb 0.750 0.250 0.500
Sb 0.000 0.000 0.000
Rh 0.250 0.750 0.500
Rh 0.500 0.500 0.000
CELL_PARAMETERS angstrom
-1.186 -0.357 7.578
5.952 -4.799 0.705
4.020 -0.496 4.496
```

Computed properties:
The value obtained for the calculated total energy is -4.41 eV per atom. The value obtained for the total magnetic moment is 0.0 μB/f.u.

Entry 2:
## Y2ScMn (PBE)

Data for crystalline Y2ScMn at its relaxed geometry. Values from VASP.

The structure in Quantum ESPRESSO input format:
```
&SYSTEM
  ibrav = 0, nat = 4, ntyp = 3
/
ATOMIC_SPECIES
Mn 54.94 Mn.upf
Sc 44.96 Sc.upf
Y 88.91 Y.upf
ATOMIC_POSITIONS crystal
Mn 0.500 0.500 0.500
Sc 0.000 0.000 0.000
Y 0.750 0.750 0.750
Y 0.250 0.250 0.250
CELL_PARAMETERS angstrom
0.000 3.572 3.572
3.572 0.000 3.572
3.572 3.572 0.000
```

Computed properties:
The calculated formation energy is 1.62 eV per formula unit. The value obtained for the total magnetic moment is 0.0 μB/f.u.

Entry 3:
## Zr2TaAl (PBE)

Data for crystalline Zr2TaAl at its relaxed geometry. Values from VASP.

The structure in Quantum ESPRESSO input format:
```
&SYSTEM
  ibrav = 0, nat = 4, ntyp = 3
/
ATOMIC_SPECIES
Al 26.98 Al.upf
Zr 91.22 Zr.upf
Ta 180.95 Ta.upf
ATOMIC_POSITIONS crystal
Al 0.491 0.491 0.498
Zr 0.237 0.237 0.275
Zr 0.008 0.008 0.986
Ta 0.764 0.764 0.740
CELL_PARAMETERS angstrom
-4.568 1.281 2.410
-5.152 1.199 -0.584
-2.231 -4.749 0.565
```

Computed properties:
The calculated formation energy is -0.43 eV per formula unit. The value obtained for the total magnetic moment is 0.0 μB/f.u.